The following is a PBE calculation of an optimized crystal structure of UPaNiOs, from the Alexandria database.

Summary:
- total magnetization (μB per cell) = 4.47
- density (g cm⁻³) = 17.2

Cell lengths 6.5161, 6.5161, 6.5161 Å; angles 90.00, 90.00, 90.00 degrees
Last column: nearest neighbours and their distance in Å.
Space group F-43m (No. 216)
Inequivalent atoms, fractional coordinates:
U: 0.0000 0.0000 0.0000  4 Pa 2.82, 4 Os 2.82
Pa: 0.2500 0.2500 0.2500  4 Ni 2.82, 4 U 2.82
Ni: 0.0000 0.0000 0.5000  4 Os 2.82, 4 Pa 2.82
Os: 0.2500 0.2500 0.7500  4 Ni 2.82, 4 U 2.82

The following is a PBE calculation of an optimized crystal structure of PaZnNiOs, from the Alexandria database.

Summary:
- total magnetization (μB per cell) = 0.00
- density (g cm⁻³) = 13.3

Cell lengths 6.4829, 6.4829, 6.4829 Å; angles 90.00, 90.00, 90.00 degrees
Last column: nearest neighbours and their distance in Å.
Space group F-43m (No. 216)
Inequivalent atoms, fractional coordinates:
Pa: 0.0000 0.0000 0.0000  4 Os 2.81, 4 Ni 2.81
Zn: 0.0000 0.0000 0.5000  4 Ni 2.81, 4 Os 2.81
Ni: 0.2500 0.2500 0.7500  4 Pa 2.81, 4 Zn 2.81
Os: 0.2500 0.2500 0.2500  4 Pa 2.81, 4 Zn 2.81

The following is a PBE calculation of an optimized crystal structure of ZrPaNiOs, from the Alexandria database.

Summary:
- total magnetization (μB per cell) = 0.00
- density (g cm⁻³) = 12.7

Cell lengths 6.6842, 6.6842, 6.6842 Å; angles 90.00, 90.00, 90.00 degrees
Last column: nearest neighbours and their distance in Å.
Space group F-43m (No. 216)
Inequivalent atoms, fractional coordinates:
Zr: 0.0000 0.0000 0.0000  4 Os 2.89, 4 Ni 2.89
Pa: 0.0000 0.0000 0.5000  4 Os 2.89, 4 Ni 2.89
Ni: 0.2500 0.2500 0.2500  4 Zr 2.89, 4 Pa 2.89
Os: 0.2500 0.2500 0.7500  4 Zr 2.89, 4 Pa 2.89

The following is a PBE calculation of an optimized crystal structure of NiOsPb2, from the Alexandria database.

Summary:
- total magnetization (μB per cell) = 0.00
- E above lowest polymorph (meV/atom) = 340.3
- density (g cm⁻³) = 14.1

Cell lengths 3.3087, 3.3087, 24.6676 Å; angles 90.00, 90.00, 120.00 degrees
Last column: nearest neighbours and their distance in Å.
Space group R-3m (No. 166, hexagonal axes)
Inequivalent atoms, fractional coordinates:
Ni: 0.0000 0.0000 0.0000  6 Pb 2.76
Os: 0.0000 0.0000 0.5000  6 Pb 2.85
Pb: 0.0000 0.0000 0.2524  3 Ni 2.76, 3 Os 2.85

The following is a PBE calculation of an optimized crystal structure of NiOsPb2, from the Alexandria database.

Summary:
- total magnetization (μB per cell) = 0.40
- E above lowest polymorph (meV/atom) = 353.1
- density (g cm⁻³) = 14.5

Cell lengths 3.3015, 4.6952, 4.9038 Å; angles 90.00, 90.00, 90.00 degrees
Last column: nearest neighbours and their distance in Å.
Space group Pmmm (No. 47)
Inequivalent atoms, fractional coordinates:
Ni: 0.0000 0.0000 0.0000  8 Pb 2.87-2.96
Os: 0.0000 0.5000 0.5000  8 Pb 2.87-2.96
Pb: 0.5000 0.0000 0.5000  4 Os 2.87, 4 Ni 2.96
Pb: 0.5000 0.5000 0.0000  4 Ni 2.87, 4 Os 2.96

The following is a PBE calculation of an optimized crystal structure of NiOsPb2, from the Alexandria database.

Summary:
- total magnetization (μB per cell) = 0.00
- E above lowest polymorph (meV/atom) = 243.2
- density (g cm⁻³) = 13.9

Cell lengths 10.7810, 3.0609, 5.0016 Å; angles 90.00, 106.59, 90.00 degrees
Last column: nearest neighbours and their distance in Å.
Space group Cm (No. 8)
Inequivalent atoms, fractional coordinates:
Ni: 0.0000 0.0000 0.0000  2 Os 2.51
Os: 0.3292 0.0000 0.7096  2 Ni 2.51
Pb: 0.0627 0.5000 0.5326  3 Os 2.90-3.15, 4 Ni 2.98-3.03, 3 Pb 3.06-3.24
Pb: 0.2664 0.5000 0.1654  3 Ni 2.87-3.15, 4 Os 2.98-3.03, 2 Pb 3.06

The records above yield formation energy values of -255; -133; -262; 774; 787; 677 meV per atom, respectively.